LaEr2TmHg4 (PBE, relaxed); formation energy from the elements = -0.465 eV/atom
1.0
2.632 1.520 8.789
-2.632 1.520 8.789
0.000 -3.039 8.789
La Er Tm Hg
1 2 1 4
direct
0.000 0.000 0.000 La
0.248 0.248 0.248 Er
0.752 0.752 0.752 Er
0.500 0.500 0.500 Tm
0.128 0.128 0.128 Hg
0.381 0.381 0.381 Hg
0.619 0.619 0.619 Hg
0.872 0.872 0.872 Hg


La2YErHg2 (PBE, relaxed); formation energy from the elements = -0.350 eV/atom
1.0
5.156 0.000 0.000
0.000 9.629 0.000
0.000 0.000 7.212
La Y Er Hg
4 2 2 4
direct
0.000 0.057 0.000 La
0.000 0.943 0.500 La
0.500 0.171 0.310 La
0.500 0.829 0.810 La
0.500 0.447 0.967 Y
0.500 0.553 0.467 Y
0.000 0.329 0.652 Er
0.000 0.671 0.152 Er
0.000 0.367 0.226 Hg
0.000 0.633 0.726 Hg
0.500 0.165 0.749 Hg
0.500 0.835 0.249 Hg


La2Y2ErHg5 (PBE, relaxed); formation energy from the elements = -0.357 eV/atom
1.0
12.171 0.000 0.000
0.000 12.171 0.000
0.000 0.000 3.882
La Y Er Hg
4 4 2 10
direct
0.168 0.332 0.000 La
0.332 0.832 0.000 La
0.668 0.168 0.000 La
0.832 0.668 0.000 La
0.134 0.634 0.000 Y
0.366 0.134 0.000 Y
0.634 0.866 0.000 Y
0.866 0.366 0.000 Y
0.000 0.000 0.000 Er
0.500 0.500 0.000 Er
0.000 0.500 0.500 Hg
0.097 0.830 0.500 Hg
0.170 0.097 0.500 Hg
0.330 0.597 0.500 Hg
0.403 0.330 0.500 Hg
0.500 0.000 0.500 Hg
0.597 0.670 0.500 Hg
0.670 0.403 0.500 Hg
0.830 0.903 0.500 Hg
0.903 0.170 0.500 Hg


LiErHg4 (PBE, relaxed); E above lowest polymorph = 0 meV/atom; formation energy from the elements = -0.310 eV/atom
1.0
5.108 -1.914 0.000
5.108 1.914 0.000
-2.662 0.000 6.966
Li Er Hg
1 1 4
direct
0.000 0.000 0.000 Li
0.000 0.000 0.500 Er
0.336 0.336 0.681 Hg
0.337 0.337 0.156 Hg
0.663 0.663 0.844 Hg
0.664 0.664 0.319 Hg


LiErHg2 (PBE, relaxed); E above lowest polymorph = 0 meV/atom; formation energy from the elements = -0.437 eV/atom
1.0
0.000 3.526 3.526
3.526 0.000 3.526
3.526 3.526 0.000
Li Er Hg
1 1 2
direct
0.000 0.000 0.000 Li
0.500 0.500 0.500 Er
0.250 0.250 0.250 Hg
0.750 0.750 0.750 Hg


LiEr5Hg8 (PBE, relaxed); formation energy from the elements = -0.381 eV/atom
1.0
-4.422 4.422 4.432
4.422 -4.422 4.432
4.422 4.422 -4.432
Li Er Hg
1 5 8
direct
0.000 0.000 0.000 Li
0.279 0.634 0.117 Er
0.366 0.483 0.646 Er
0.517 0.162 0.883 Er
0.750 0.250 0.500 Er
0.838 0.721 0.354 Er
0.100 0.175 0.752 Hg
0.134 0.743 0.757 Hg
0.257 0.013 0.391 Hg
0.423 0.348 0.248 Hg
0.623 0.866 0.609 Hg
0.652 0.900 0.075 Hg
0.825 0.577 0.925 Hg
0.987 0.377 0.243 Hg


LiEr7Hg4 (PBE, relaxed); formation energy from the elements = -0.124 eV/atom
1.0
7.258 -2.764 0.000
7.258 2.764 0.000
-4.964 0.000 8.041
Li Er Hg
1 7 4
direct
0.000 0.000 0.000 Li
0.072 0.072 0.415 Er
0.195 0.195 0.879 Er
0.259 0.259 0.300 Er
0.500 0.500 0.000 Er
0.741 0.741 0.700 Er
0.805 0.805 0.121 Er
0.928 0.928 0.585 Er
0.314 0.314 0.658 Hg
0.455 0.455 0.287 Hg
0.545 0.545 0.713 Hg
0.686 0.686 0.342 Hg


LiEr2Hg (PBE, relaxed); E above lowest polymorph = 17 meV/atom; formation energy from the elements = -0.215 eV/atom
1.0
0.000 3.660 3.660
3.660 0.000 3.660
3.660 3.660 0.000
Li Er Hg
1 2 1
direct
0.000 0.000 0.000 Li
0.250 0.250 0.250 Er
0.750 0.750 0.750 Er
0.500 0.500 0.500 Hg


Li2ErHg7 (PBE, relaxed); formation energy from the elements = -0.212 eV/atom
1.0
4.970 0.000 0.000
-2.485 4.304 0.000
0.000 0.000 11.226
Li Er Hg
2 1 7
direct
0.000 0.000 0.000 Li
0.333 0.667 0.580 Li
0.667 0.333 0.371 Er
0.000 0.000 0.236 Hg
0.000 0.000 0.505 Hg
0.000 0.000 0.767 Hg
0.333 0.667 0.289 Hg
0.333 0.667 0.911 Hg
0.667 0.333 0.080 Hg
0.667 0.333 0.645 Hg


Li2Er2Hg7 (PBE, relaxed); formation energy from the elements = -0.286 eV/atom
1.0
5.439 -4.991 0.000
5.439 4.991 0.000
-2.511 0.000 4.636
Li Er Hg
2 2 7
direct
0.229 0.229 0.475 Li
0.771 0.771 0.525 Li
0.292 0.708 0.500 Er
0.708 0.292 0.500 Er
0.076 0.573 0.822 Hg
0.092 0.092 0.826 Hg
0.427 0.924 0.178 Hg
0.500 0.500 0.000 Hg
0.573 0.076 0.822 Hg
0.908 0.908 0.174 Hg
0.924 0.427 0.178 Hg


Li3Er2Hg4 (PBE, relaxed); E above lowest polymorph = 0 meV/atom; formation energy from the elements = -0.360 eV/atom
1.0
4.825 0.000 0.000
-2.412 4.466 0.000
-0.006 -1.455 8.982
Li Er Hg
3 2 4
direct
0.000 0.000 0.000 Li
0.361 0.721 0.427 Li
0.639 0.279 0.573 Li
0.305 0.612 0.773 Er
0.695 0.388 0.227 Er
0.044 0.086 0.351 Hg
0.354 0.708 0.111 Hg
0.646 0.292 0.889 Hg
0.956 0.914 0.649 Hg


LiEr2Hg3 (PBE, relaxed); E above lowest polymorph = 0 meV/atom; formation energy from the elements = -0.452 eV/atom
1.0
5.092 0.000 0.000
-2.546 4.410 0.000
0.000 0.000 12.428
Li Er Hg
2 4 6
direct
0.333 0.667 0.165 Li
0.667 0.333 0.835 Li
0.000 0.000 0.000 Er
0.000 0.000 0.500 Er
0.333 0.667 0.678 Er
0.667 0.333 0.322 Er
0.000 0.000 0.246 Hg
0.000 0.000 0.754 Hg
0.333 0.667 0.412 Hg
0.333 0.667 0.924 Hg
0.667 0.333 0.076 Hg
0.667 0.333 0.588 Hg


Li3ErHg3 (PBE, relaxed); formation energy from the elements = 0.080 eV/atom
1.0
6.977 0.000 0.000
0.000 6.977 0.000
0.000 0.000 6.977
Li Er Hg
6 2 6
direct
0.000 0.250 0.500 Li
0.000 0.750 0.500 Li
0.250 0.500 0.000 Li
0.500 0.000 0.250 Li
0.500 0.000 0.750 Li
0.750 0.500 0.000 Li
0.000 0.000 0.000 Er
0.500 0.500 0.500 Er
0.000 0.500 0.250 Hg
0.000 0.500 0.750 Hg
0.250 0.000 0.500 Hg
0.500 0.250 0.000 Hg
0.500 0.750 0.000 Hg
0.750 0.000 0.500 Hg


Li2ErHg (PBE, relaxed); E above lowest polymorph = 38 meV/atom; formation energy from the elements = -0.120 eV/atom
1.0
4.285 0.000 0.000
0.000 4.285 0.000
0.000 0.000 4.954
Li Er Hg
2 1 1
direct
0.000 0.500 0.000 Li
0.500 0.000 0.000 Li
0.000 0.000 0.500 Er
0.500 0.500 0.500 Hg


Li2ErHg (PBE, relaxed); E above lowest polymorph = 0 meV/atom; formation energy from the elements = -0.159 eV/atom
1.0
0.000 3.374 3.374
3.374 0.000 3.374
3.374 3.374 0.000
Li Er Hg
2 1 1
direct
0.250 0.250 0.250 Li
0.750 0.750 0.750 Li
0.000 0.000 0.000 Er
0.500 0.500 0.500 Hg


Li2ErHg4 (PBE, relaxed); formation energy from the elements = -0.282 eV/atom
1.0
2.360 1.362 8.105
-2.360 1.362 8.105
0.000 -2.725 8.105
Li Er Hg
2 1 4
direct
0.245 0.245 0.245 Li
0.755 0.755 0.755 Li
0.000 0.000 0.000 Er
0.130 0.130 0.130 Hg
0.394 0.394 0.394 Hg
0.606 0.606 0.606 Hg
0.870 0.870 0.870 Hg


LiEr2Hg3 (PBE, relaxed); E above lowest polymorph = 165 meV/atom; formation energy from the elements = -0.287 eV/atom
1.0
1.889 -11.461 0.000
1.889 11.461 0.000
0.000 0.000 7.120
Li Er Hg
2 4 6
direct
0.151 0.849 0.750 Li
0.849 0.151 0.250 Li
0.341 0.659 0.750 Er
0.482 0.518 0.250 Er
0.518 0.482 0.750 Er
0.659 0.341 0.250 Er
0.075 0.925 0.035 Hg
0.075 0.925 0.465 Hg
0.263 0.737 0.250 Hg
0.737 0.263 0.750 Hg
0.925 0.075 0.535 Hg
0.925 0.075 0.965 Hg


Li4ErHg (PBE, relaxed); formation energy from the elements = -0.099 eV/atom
1.0
0.000 3.820 3.820
3.820 0.000 3.820
3.820 3.820 0.000
Li Er Hg
4 1 1
direct
0.377 0.377 0.377 Li
0.377 0.377 0.870 Li
0.377 0.870 0.377 Li
0.870 0.377 0.377 Li
0.000 0.000 0.000 Er
0.750 0.750 0.750 Hg


LiEr2Hg7 (PBE, relaxed); formation energy from the elements = -0.215 eV/atom
1.0
4.982 0.000 0.000
-2.491 4.315 0.000
0.000 0.000 11.880
Li Er Hg
1 2 7
direct
0.000 0.000 0.000 Li
0.333 0.667 0.808 Er
0.667 0.333 0.603 Er
0.000 0.000 0.439 Hg
0.000 0.000 0.723 Hg
0.333 0.667 0.059 Hg
0.333 0.667 0.301 Hg
0.333 0.667 0.546 Hg
0.667 0.333 0.198 Hg
0.667 0.333 0.918 Hg


Li2ErHg3 (PBE, relaxed); E above lowest polymorph = 5 meV/atom; formation energy from the elements = -0.389 eV/atom
1.0
3.443 0.000 0.000
0.000 3.443 0.000
0.000 0.000 10.433
Li Er Hg
2 1 3
direct
0.000 0.000 0.155 Li
0.000 0.000 0.845 Li
0.000 0.000 0.500 Er
0.500 0.500 0.000 Hg
0.500 0.500 0.305 Hg
0.500 0.500 0.695 Hg


Across the entries above, N(E_F) takes the values 0.93, 0.64, 0.78, 0.37, 0.42, 0.76, 0.97, 1.12, 0.23, 0.44, 0.47, 0.56, 0.82, 1.13, 1.36, 0.59, 0.65, 0.42, 0.44, 0.45 states/eV/atom, respectively.
Across the entries above, DFT total energy takes the values -23.5, -23.6, -32.4, -9.5, -8.8, -32.5, -36.6, -12.2, -12.6, -18.2, -19.3, -14.7, -10.7, -9.2, -9.3, -11.6, -13.7, -13.1, -15.3, -11.6 eV/f.u., respectively.